First-principles (GGA-PBE) data for an optimized crystal structure of Tl2ZnHg2, as listed in Alexandria via LeMat-Bulk.

Unit cell a=7.700 b=7.700 c=4.835 alpha=90.00 beta=90.00 gamma=90.00
Positions (direct):
Zn 0.000 0.000 0.000
Zn 0.500 0.500 0.000
Tl 0.346 0.846 0.000
Tl 0.846 0.654 0.000
Tl 0.654 0.154 0.000
Tl 0.154 0.346 0.000
Hg 0.157 0.657 0.500
Hg 0.657 0.843 0.500
Hg 0.843 0.343 0.500
Hg 0.343 0.157 0.500

Results
- energy of formation from the pure elements (eV/f.u.) = 0.678
- energy (eV for the cell shown) = -11.9
- space-group type = P4/mbm, No. 127
- total magnetization (Bohr magnetons per cell) = 0.00
- D(E_F) (states/eV per atom) = 0.475
- mass density (Mg/m³) = 10.14